This record from the Alexandria database describes an optimized crystal structure of Y8Rh2Au. The functional is PBE-GGA.

Calculated values
Magnetic moment = 0.00 μB/f.u.
Formation energy from the elements = -4.450 eV/f.u.

Cell lengths 5.8506, 7.7020, 7.7020 Å; angles 113.24, 99.24, 99.24 degrees
Closest atoms and distances in Å follow each position.
Fractional positions:
Y 0.5797 0.3425 0.0816  2 Rh 2.79-2.84
Y 0.5797 0.0816 0.3425  2 Rh 2.79-2.84
Y 0.1729 0.3731 0.3731  1 Au 3.09, 2 Rh 3.09
Y 0.9900 0.2304 0.7746  1 Au 3.04, 2 Rh 3.09-3.11
Y 0.9900 0.7746 0.2304  1 Au 3.04, 2 Rh 3.09-3.11
Y 0.8040 0.6311 0.6311  2 Rh 3.09, 1 Au 3.14
Y 0.3911 0.9268 0.6662  2 Rh 2.82-2.83, 1 Au 3.13
Y 0.3911 0.6662 0.9268  2 Rh 2.82-2.83, 1 Au 3.13
Rh 0.4881 0.6961 0.3114  8 Y 2.79-3.11
Rh 0.4881 0.3114 0.6961  8 Y 2.79-3.11
Au 0.1248 0.0004 0.0004  8 Y 3.04-3.21